! PBE-GGA Ca2EuLu, optimized geometry; values from VASP
! - Fermi-level density of states: 6.33 states/eV/cell
! - VASP energy: -4.54 eV per atom
! - Distance to the lowest polymorph of the same formula: 28 meV per atom
! - DFT formation energy: 157 meV per atom
&SYSTEM
  ibrav = 0, nat = 4, ntyp = 3
/
ATOMIC_SPECIES
Eu 151.96 Eu.upf
Lu 174.97 Lu.upf
Ca 40.08 Ca.upf
CELL_PARAMETERS angstrom
-5.386 -0.439 1.036
0.571 -5.177 0.771
0.914 0.862 5.113
ATOMIC_POSITIONS crystal
Eu 0.500 0.000 0.000
Lu 0.500 0.500 0.500
Ca 0.000 0.000 0.500
Ca 0.000 0.500 0.000

***

! PBE-GGA Ca2EuLu, optimized geometry; values from VASP
! - Fermi-level density of states: 4.78 states/eV/cell
! - VASP energy: -4.57 eV per atom
! - Distance to the lowest polymorph of the same formula: 0 meV per atom
! - DFT formation energy: 129 meV per atom
&SYSTEM
  ibrav = 0, nat = 4, ntyp = 3
/
ATOMIC_SPECIES
Eu 151.96 Eu.upf
Ca 40.08 Ca.upf
Lu 174.97 Lu.upf
CELL_PARAMETERS angstrom
3.987 0.000 0.000
0.000 3.987 0.000
0.000 0.000 9.570
ATOMIC_POSITIONS crystal
Eu 0.500 0.500 0.500
Ca 0.000 0.000 0.226
Ca 0.000 0.000 0.774
Lu 0.500 0.500 0.000